Entry 1:
This record from Alexandria describes a geometry-optimized Pm2Sc3Ge4 structure. The functional is PBE.

a = 6.4619 Å, b = 15.7507 Å, c = 8.0338 Å
α = 90.00°, β = 90.00°, γ = 90.00°
Closest atoms and distances in Å follow each position.
Space group Cmce (No. 64)
Unique sites:
Pm 0.0000 0.1101 0.0912 (multiplicity 8)  6 Ge 3.08-3.39
Sc 0.0000 0.0000 0.5000 (multiplicity 4)  4 Ge 2.64
Sc 0.2500 0.2067 0.7500 (multiplicity 8)  5 Ge 2.70-2.94
Ge 0.0000 0.1901 0.4459 (multiplicity 8)  5 Sc 2.78-3.03
Ge 0.2500 0.0352 0.7500 (multiplicity 8)  3 Sc 2.64-2.70

Summary:
Uncorrected energy ... -215.745 eV per cell
Polymorph energy (0 for the lowest one) ... 12.6 kJ/mol of atoms
N(E_F) ... 0.443 states/eV per atom
V ... 818 Å³/cell


Entry 2:
This record from Alexandria describes a geometry-optimized K4HgF5 structure. The functional is PBE.

a = 8.6322 Å, b = 8.6322 Å, c = 5.3093 Å
α = 90.00°, β = 90.00°, γ = 90.00°
Closest atoms and distances in Å follow each position.
Space group I4/m (No. 87)
Unique sites:
K 0.1038 0.3006 0.0000 (multiplicity 8)  6 F 2.65-2.75
Hg 0.0000 0.0000 0.5000 (multiplicity 2)  6 F 2.65-2.77
F 0.0000 0.0000 0.0000 (multiplicity 2)  2 Hg 2.65, 4 K 2.75
F 0.1008 0.3045 0.5000 (multiplicity 8)  5 K 2.65-2.72, 1 Hg 2.77

Summary:
Uncorrected formation energy ... -2.34 eV/atom
Uncorrected energy ... -74.901 eV per cell
N(E_F) ... 0.120 states/eV per atom
V ... 396 Å³/cell


Entry 3:
This record from Alexandria describes a geometry-optimized PrYZnCu structure. The functional is PBE.

a = 3.5900 Å, b = 3.5900 Å, c = 7.2464 Å
α = 90.00°, β = 90.00°, γ = 90.00°
Closest atoms and distances in Å follow each position.
Space group P4mm (No. 99)
Unique sites:
Pr 0.0000 0.0000 0.0000 (multiplicity 1)  4 Cu 3.21, 4 Zn 3.21, 1 Y 3.54, 4 Pr 3.59
Y 0.0000 0.0000 0.4883 (multiplicity 1)  4 Cu 2.99, 4 Zn 3.08
Zn 0.5000 0.5000 0.7280 (multiplicity 1)  4 Y 3.08, 4 Pr 3.21, 1 Cu 3.31
Cu 0.5000 0.5000 0.2714 (multiplicity 1)  4 Y 2.99, 4 Pr 3.21, 1 Zn 3.31

Summary:
Uncorrected energy ... -17.607 eV per cell
Polymorph energy (0 for the lowest one) ... 0.0 kJ/mol of atoms
N(E_F) ... 0.951 states/eV per atom
V ... 93 Å³/cell


Entry 4:
This record from Alexandria describes a geometry-optimized La2TmAgS5 structure. The functional is PBE.

a = 4.0322 Å, b = 16.7826 Å, c = 12.1420 Å
α = 90.00°, β = 90.00°, γ = 90.00°
Closest atoms and distances in Å follow each position.
Space group Cmc2_1 (No. 36)
Unique sites:
La 0.0000 0.1100 0.0000 (multiplicity 4)  8 S 2.96-3.20
La 0.0000 0.1266 0.6209 (multiplicity 4)  8 S 2.93-3.12
Tm 0.0000 0.1963 0.3229 (multiplicity 4)  6 S 2.62-2.76
Ag 0.0000 0.4588 0.7783 (multiplicity 4)  3 S 2.44-2.46
S 0.0000 0.0490 0.3941 (multiplicity 4)  2 Ag 2.46, 1 Tm 2.62
S 0.0000 0.2870 0.9765 (multiplicity 4)  2 Tm 2.76, 3 La 2.98-3.04
S 0.0000 0.3059 0.6679 (multiplicity 4)  2 Tm 2.76, 1 Ag 2.89, 1 La 3.06
S 0.0000 0.3567 0.3159 (multiplicity 4)  1 Tm 2.69
S 0.0000 0.4972 0.0867 (multiplicity 4)  1 Ag 2.44

Summary:
Uncorrected formation energy ... -1.79 eV/atom
Uncorrected energy ... -215.538 eV per cell
N(E_F) ... 0.007 states/eV per atom
V ... 822 Å³/cell